DFT (PBE with a Hubbard U) results for MgBiMoO5 after structural relaxation.

Structure (CIF):
```
data_MgBiMoO5
_cell_length_a 5.4227
_cell_length_b 11.7778
_cell_length_c 8.4652
_cell_angle_alpha 90.00
_cell_angle_beta 113.63
_cell_angle_gamma 90.00
_symmetry_space_group_name_H-M 'P 1'
_symmetry_Int_Tables_number 1
_symmetry_space_group_name_Hall 'P 1'
loop_
_atom_site_label
_atom_site_type_symbol
_atom_site_fract_x
_atom_site_fract_y
_atom_site_fract_z
Mg1 Mg 0.0597 0.0792 0.1696
Mg2 Mg 0.0597 0.4208 0.6696
Mg3 Mg 0.9403 0.5792 0.3304
Mg4 Mg 0.9403 0.9208 0.8304
Bi1 Bi 0.4444 0.1050 0.8453
Bi2 Bi 0.4444 0.3950 0.3453
Bi3 Bi 0.5556 0.6050 0.6547
Bi4 Bi 0.5556 0.8950 0.1547
Mo1 Mo 0.2995 0.6345 0.0271
Mo2 Mo 0.2995 0.8655 0.5271
Mo3 Mo 0.7005 0.1345 0.4729
Mo4 Mo 0.7005 0.3655 0.9729
O1 O 0.1633 0.5688 0.1705
O2 O 0.1633 0.9312 0.6705
O3 O 0.1930 0.7093 0.4786
O4 O 0.1930 0.7907 0.9786
O5 O 0.2557 0.0270 0.0120
O6 O 0.2557 0.4730 0.5120
O7 O 0.2916 0.5641 0.8289
O8 O 0.2916 0.9359 0.3289
O9 O 0.3499 0.1844 0.3364
O10 O 0.3499 0.3156 0.8364
O11 O 0.6501 0.6844 0.1636
O12 O 0.6501 0.8156 0.6636
O13 O 0.7084 0.0641 0.6711
O14 O 0.7084 0.4359 0.1711
O15 O 0.7443 0.5270 0.4880
O16 O 0.7443 0.9730 0.9880
O17 O 0.8070 0.2093 0.0214
O18 O 0.8070 0.2907 0.5214
O19 O 0.8367 0.0688 0.3295
O20 O 0.8367 0.4312 0.8295
```

Computed properties:
SG: P2_1/c, No. 14
Distance to the lowest polymorph of the same formula: 17.9 meV/atom